(1)
Material: Tm2Hf4Ge3N2
Method: DFT, PBE-GGA
State: relaxed

```
Tm2Hf4Ge3N2
1.0
-2.154 2.154 11.270
2.154 -2.154 11.270
2.154 2.154 -11.270
Tm Hf Ge N
2 4 3 2
direct
0.195 0.195 0.000
0.805 0.805 0.000
0.079 0.579 0.500
0.421 0.921 0.500
0.579 0.079 0.500
0.921 0.421 0.500
0.327 0.327 0.000
0.500 0.500 0.000
0.673 0.673 0.000
0.092 0.092 0.000
0.908 0.908 0.000
```

Output
SG: I4/mmm, No. 139
formation energy without anion corrections: -1.010 eV/atom

---

(2)
Material: PuCoB2
Method: DFT, PBE-GGA
State: relaxed

```
PuCoB2
1.0
1.711 0.988 4.740
-1.711 0.988 4.740
0.000 -1.975 4.740
Pu Co B
1 1 2
direct
0.000 0.000 0.000
0.500 0.500 0.500
0.192 0.192 0.192
0.808 0.808 0.808
```

Output
DFT formation energy: -0.20 eV/atom
polymorph energy (0 for the lowest one): 158 meV/atom
SG: R-3m, No. 166

---

(3)
Material: Dy3Nb5H12
Method: DFT, PBE-GGA
State: relaxed

```
Dy3Nb5H12
1.0
-5.942 5.942 5.942
5.942 -5.942 5.942
5.942 5.942 -5.942
Dy Nb H
12 20 48
direct
0.125 0.250 0.375
0.125 0.375 0.750
0.250 0.375 0.125
0.250 0.875 0.625
0.375 0.125 0.250
0.375 0.750 0.125
0.625 0.250 0.875
0.625 0.875 0.750
0.750 0.125 0.375
0.750 0.625 0.875
0.875 0.625 0.250
0.875 0.750 0.625
0.000 0.000 0.000
0.000 0.000 0.500
0.000 0.500 0.000
0.000 0.500 0.500
0.125 0.750 0.875
0.125 0.875 0.250
0.250 0.125 0.875
0.250 0.625 0.375
0.375 0.250 0.625
0.375 0.625 0.750
0.500 0.000 0.000
0.500 0.000 0.500
0.500 0.500 0.000
0.500 0.500 0.500
0.625 0.375 0.250
0.625 0.750 0.375
0.750 0.375 0.625
0.750 0.875 0.125
0.875 0.125 0.750
0.875 0.250 0.125
0.049 0.213 0.133
0.049 0.336 0.916
0.081 0.713 0.664
0.081 0.867 0.416
0.084 0.633 0.419
0.084 0.951 0.664
0.133 0.049 0.213
0.133 0.584 0.919
0.164 0.213 0.581
0.164 0.451 0.584
0.213 0.133 0.049
0.213 0.581 0.164
0.287 0.336 0.919
0.287 0.451 0.367
0.336 0.916 0.049
0.336 0.919 0.287
0.367 0.287 0.451
0.367 0.581 0.916
0.416 0.081 0.867
0.416 0.836 0.549
0.419 0.084 0.633
0.419 0.836 0.787
0.451 0.367 0.287
0.451 0.584 0.164
0.549 0.416 0.836
0.549 0.633 0.713
0.581 0.164 0.213
0.581 0.916 0.367
0.584 0.164 0.451
0.584 0.919 0.133
0.633 0.419 0.084
0.633 0.713 0.549
0.664 0.081 0.713
0.664 0.084 0.951
0.713 0.549 0.633
0.713 0.664 0.081
0.787 0.419 0.836
0.787 0.867 0.951
0.836 0.549 0.416
0.836 0.787 0.419
0.867 0.416 0.081
0.867 0.951 0.787
0.916 0.049 0.336
0.916 0.367 0.581
0.919 0.133 0.584
0.919 0.287 0.336
0.951 0.664 0.084
0.951 0.787 0.867
```

Output
SG: Ia-3d, No. 230

---

Number 1: energy -90.37 eV/cell. Number 2: energy -35.59 eV/cell. Number 3: energy -441.79 eV/cell.